#i
The following is a DFT calculation (GGA-PBE) of a relaxed CoSI crystal.

abc: 3.555 4.390 9.258
angles: 90.00 90.00 90.00
Fractional coordinates of all 6 atoms:
Co 0.250 0.250 0.107
Co 0.750 0.750 0.893
S 0.250 0.750 0.044
S 0.750 0.250 0.956
I 0.250 0.750 0.689
I 0.750 0.250 0.311

Volume: 72 Å³/f.u.
Space-group type: No. 59

***

#ii
The following is a DFT calculation (GGA-PBE) of a relaxed CoSI crystal.

abc: 4.449 4.449 4.449
angles: 60.00 60.00 60.00
Fractional coordinates of all 3 atoms:
Co 0.000 0.000 0.000
S 0.750 0.750 0.750
I 0.250 0.250 0.250

Volume: 62 Å³/f.u.
Space-group type: No. 216

***

#i takes first place; second place is 71.2 kJ/mol of atoms up.

***

#i
The following is a DFT calculation (GGA-PBE) of a relaxed CoSI2 crystal.

abc: 5.051 5.051 5.051
angles: 60.00 60.00 60.00
Fractional coordinates of all 4 atoms:
Co 0.000 0.000 0.000
S 0.500 0.500 0.500
I 0.250 0.250 0.250
I 0.750 0.750 0.750

Volume: 91 Å³/f.u.
Space-group type: No. 225

***

#ii
The following is a DFT calculation (GGA-PBE) of a relaxed CoSI2 crystal.

abc: 6.815 6.815 6.815
angles: 118.52 118.52 92.58
Fractional coordinates of all 8 atoms:
Co 0.000 0.000 0.000
Co 0.750 0.250 0.500
S 0.250 0.750 0.500
S 0.500 0.500 0.000
I 0.067 0.625 0.942
I 0.375 0.317 0.442
I 0.683 0.125 0.058
I 0.875 0.933 0.558

Volume: 114 Å³/f.u.
Space-group type: No. 122

***

#ii takes first place; second place is 39.6 kJ/mol of atoms up.